1.
Here is BaTaS3Cl after structural relaxation from Alexandria via LeMat-Bulk. Energies are from PBE-GGA.

Lattice parameters (Å, degrees): 10.7018 10.7018 6.2050 93.24 93.24 143.95
Last column: nearest neighbours and their distance in Å.
Positions (direct):
1 Ba 0.1436 0.8564 0.7500  2 Cl 3.17, 4 S 3.31-3.40
2 Ba 0.8564 0.1436 0.2500  2 Cl 3.17, 4 S 3.31-3.40
3 Ta 0.4697 0.5303 0.2500  5 S 2.24-2.41
4 Ta 0.5303 0.4697 0.7500  5 S 2.24-2.41
5 S 0.2336 0.2376 0.4492  2 Ta 2.39-2.41
6 S 0.2376 0.2336 0.9492  2 Ta 2.39-2.41
7 S 0.3596 0.6404 0.2500  1 Ta 2.24
8 S 0.6404 0.3596 0.7500  1 Ta 2.24
9 S 0.7624 0.7664 0.0508  2 Ta 2.39-2.41
10 S 0.7664 0.7624 0.5508  2 Ta 2.39-2.41
11 Cl 0.1764 0.8236 0.2500  2 Ba 3.17
12 Cl 0.8236 0.1764 0.7500  2 Ba 3.17

Summary:
ΔE_f (raw) = -137 kJ/mol of atoms
theoretical density = 3.6 Mg/m³
crystal system = monoclinic
space group = C2/c

2.
Here is BaTcS2Cl after structural relaxation from Alexandria via LeMat-Bulk. Energies are from PBE-GGA.

Lattice parameters (Å, degrees): 4.7338 4.7338 5.0929 90.00 90.00 90.00
Last column: nearest neighbours and their distance in Å.
Positions (direct):
1 Ba 0.0000 0.0000 0.0000  4 Cl 3.35, 8 S 3.48
2 Tc 0.5000 0.5000 0.5000  4 S 2.37, 2 Cl 2.55
3 S 0.0000 0.5000 0.5000  2 Tc 2.37
4 S 0.5000 0.0000 0.5000  2 Tc 2.37
5 Cl 0.5000 0.5000 0.0000  2 Tc 2.55

Summary:
ΔE_f (raw) = -95 kJ/mol of atoms
theoretical density = 4.9 Mg/m³
crystal system = tetragonal
distance to the lowest polymorph of the same formula = 0 meV/atom
space group = P4/mmm

3.
Here is BaTcS2Cl after structural relaxation from Alexandria via LeMat-Bulk. Energies are from PBE-GGA.

Lattice parameters (Å, degrees): 5.7761 5.7761 5.6923 90.00 90.00 90.00
Last column: nearest neighbours and their distance in Å.
Positions (direct):
1 Ba 0.0000 0.0000 0.0000  2 Cl 2.85, 4 S 2.89
2 Tc 0.5000 0.5000 0.5000  8 S 4.05, 4 Cl 4.08
3 S 0.0000 0.5000 0.0000  2 Ba 2.89
4 S 0.5000 0.0000 0.0000  2 Ba 2.89
5 Cl 0.0000 0.0000 0.5000  2 Ba 2.85

Summary:
ΔE_f (raw) = 60 kJ/mol of atoms
theoretical density = 2.9 Mg/m³
crystal system = tetragonal
distance to the lowest polymorph of the same formula = 1606 meV/atom
space group = P4/mmm

4.
Here is Ba6Te3SCl2 after structural relaxation from Alexandria via LeMat-Bulk. Energies are from PBE-GGA.

Lattice parameters (Å, degrees): 8.3376 8.3376 8.1670 99.79 99.79 119.92
Last column: nearest neighbours and their distance in Å.
Positions (direct):
1 Ba 0.0787 0.3996 0.2365  1 S 3.23, 2 Cl 3.37, 3 Te 3.40-3.48
2 Ba 0.2405 0.2405 0.7603  1 S 3.25, 2 Cl 3.37, 3 Te 3.43-3.51
3 Ba 0.3996 0.0787 0.2365  1 S 3.23, 2 Cl 3.37, 3 Te 3.40-3.48
4 Ba 0.6004 0.9213 0.7635  1 S 3.23, 2 Cl 3.37, 3 Te 3.40-3.48
5 Ba 0.7595 0.7595 0.2397  1 S 3.25, 2 Cl 3.37, 3 Te 3.43-3.51
6 Ba 0.9213 0.6004 0.7635  1 S 3.23, 2 Cl 3.37, 3 Te 3.40-3.48
7 Te 0.1709 0.8291 0.5000  6 Ba 3.40-3.48
8 Te 0.5000 0.5000 0.5000  6 Ba 3.40-3.51
9 Te 0.8291 0.1709 0.5000  6 Ba 3.40-3.48
10 S 0.0000 0.0000 0.0000  6 Ba 3.23-3.25
11 Cl 0.3342 0.6659 0.0000  6 Ba 3.37
12 Cl 0.6659 0.3342 0.0000  6 Ba 3.37

Summary:
ΔE_f (raw) = -178 kJ/mol of atoms
theoretical density = 4.7 Mg/m³
crystal system = monoclinic
space group = C2/m

5.
Here is BaTeS2Cl after structural relaxation from Alexandria via LeMat-Bulk. Energies are from PBE-GGA.

Lattice parameters (Å, degrees): 6.0875 6.0875 5.8376 90.00 90.00 90.00
Last column: nearest neighbours and their distance in Å.
Positions (direct):
1 Ba 0.0000 0.0000 0.0000  2 Cl 2.92, 4 S 3.04
2 Te 0.5000 0.5000 0.5000  8 S 4.22, 4 Cl 4.30
3 S 0.0000 0.5000 0.0000  2 Ba 3.04
4 S 0.5000 0.0000 0.0000  2 Ba 3.04
5 Cl 0.0000 0.0000 0.5000  2 Ba 2.92

Summary:
ΔE_f (raw) = 10 kJ/mol of atoms
theoretical density = 2.8 Mg/m³
crystal system = tetragonal
distance to the lowest polymorph of the same formula = 978 meV/atom
space group = P4/mmm

6.
Here is Ba6Te2S3Cl after structural relaxation from Alexandria via LeMat-Bulk. Energies are from PBE-GGA.

Lattice parameters (Å, degrees): 10.5849 10.5849 9.4782 104.13 104.13 25.64
Last column: nearest neighbours and their distance in Å.
Positions (direct):
1 Ba 0.0063 0.0063 0.2362  3 S 3.19-3.22, 1 Te 3.40, 2 Cl 3.46
2 Ba 0.3276 0.3276 0.4309  3 S 3.21-3.24, 2 Te 3.43, 1 Cl 3.45
3 Ba 0.3375 0.3375 0.9049  3 S 3.25-3.26, 3 Te 3.46-3.48
4 Ba 0.6625 0.6625 0.0951  3 S 3.25-3.26, 3 Te 3.46-3.48
5 Ba 0.6724 0.6724 0.5691  3 S 3.21-3.24, 2 Te 3.43, 1 Cl 3.45
6 Ba 0.9937 0.9937 0.7638  3 S 3.19-3.22, 1 Te 3.40, 2 Cl 3.46
7 Te 0.1635 0.1635 0.8270  6 Ba 3.40-3.48
8 Te 0.8365 0.8365 0.1730  6 Ba 3.40-3.48
9 S 0.1656 0.1656 0.3353  6 Ba 3.19-3.26
10 S 0.5000 0.5000 0.0000  6 Ba 3.22-3.25
11 S 0.8344 0.8344 0.6647  6 Ba 3.19-3.26
12 Cl 0.5000 0.5000 0.5000  6 Ba 3.45-3.46

Summary:
ΔE_f (raw) = -187 kJ/mol of atoms
theoretical density = 4.5 Mg/m³
crystal system = monoclinic
space group = C2/m

7.
Here is BaTeSCl2 after structural relaxation from Alexandria via LeMat-Bulk. Energies are from PBE-GGA.

Lattice parameters (Å, degrees): 5.8865 5.8865 6.4038 90.00 90.00 90.00
Last column: nearest neighbours and their distance in Å.
Positions (direct):
1 Ba 0.0000 0.0000 0.0000  4 Cl 2.94, 2 S 3.20
2 Te 0.5000 0.5000 0.5000  4 S 4.16, 8 Cl 4.35
3 S 0.0000 0.0000 0.5000  2 Ba 3.20
4 Cl 0.0000 0.5000 0.0000  2 Ba 2.94
5 Cl 0.5000 0.0000 0.0000  2 Ba 2.94

Summary:
ΔE_f (raw) = -46 kJ/mol of atoms
theoretical density = 2.8 Mg/m³
crystal system = tetragonal
distance to the lowest polymorph of the same formula = 446 meV/atom
space group = P4/mmm

8.
Here is BaTeSCl2 after structural relaxation from Alexandria via LeMat-Bulk. Energies are from PBE-GGA.

Lattice parameters (Å, degrees): 5.5226 5.5226 5.3369 90.00 90.00 90.00
Last column: nearest neighbours and their distance in Å.
Positions (direct):
1 Ba 0.0000 0.0000 0.0000  8 Cl 3.84, 4 S 3.91
2 Te 0.5000 0.5000 0.5000  2 S 2.67, 4 Cl 2.76
3 S 0.5000 0.5000 0.0000  2 Te 2.67
4 Cl 0.0000 0.5000 0.5000  2 Te 2.76
5 Cl 0.5000 0.0000 0.5000  2 Te 2.76

Summary:
ΔE_f (raw) = -89 kJ/mol of atoms
theoretical density = 3.8 Mg/m³
crystal system = tetragonal
distance to the lowest polymorph of the same formula = 0 meV/atom
space group = P4/mmm

9.
Here is BaTeS2Cl after structural relaxation from Alexandria via LeMat-Bulk. Energies are from PBE-GGA.

Lattice parameters (Å, degrees): 5.0444 5.0444 5.8822 90.00 90.00 90.00
Last column: nearest neighbours and their distance in Å.
Positions (direct):
1 Ba 0.0000 0.0000 0.0000  2 Cl 2.94
2 Te 0.5000 0.5000 0.0000  4 Ba 3.57, 8 S 3.87
3 S 0.0000 0.5000 0.5000  2 Cl 2.52
4 S 0.5000 0.0000 0.5000  2 Cl 2.52
5 Cl 0.0000 0.0000 0.5000  4 S 2.52

Summary:
ΔE_f (raw) = -9 kJ/mol of atoms
theoretical density = 4.0 Mg/m³
crystal system = tetragonal
distance to the lowest polymorph of the same formula = 790 meV/atom
space group = P4/mmm

10.
Here is BaTeS2Cl after structural relaxation from Alexandria via LeMat-Bulk. Energies are from PBE-GGA.

Lattice parameters (Å, degrees): 5.2851 5.2851 5.2463 90.00 90.00 90.00
Last column: nearest neighbours and their distance in Å.
Positions (direct):
1 Ba 0.0000 0.0000 0.0000  8 S 3.72, 4 Cl 3.74
2 Te 0.5000 0.5000 0.5000  2 Cl 2.62, 4 S 2.64
3 S 0.0000 0.5000 0.5000  2 Te 2.64
4 S 0.5000 0.0000 0.5000  2 Te 2.64
5 Cl 0.5000 0.5000 0.0000  2 Te 2.62

Summary:
ΔE_f (raw) = -85 kJ/mol of atoms
theoretical density = 4.1 Mg/m³
crystal system = tetragonal
distance to the lowest polymorph of the same formula = 0 meV/atom
space group = P4/mmm

11.
Here is BaTiSCl2 after structural relaxation from Alexandria via LeMat-Bulk. Energies are from PBE-GGA.

Lattice parameters (Å, degrees): 5.7808 5.7808 5.9413 90.00 90.00 90.00
Last column: nearest neighbours and their distance in Å.
Positions (direct):
1 Ba 0.0000 0.0000 0.0000  4 Cl 2.89, 2 S 2.97
2 Ti 0.5000 0.5000 0.5000  4 S 4.09, 8 Cl 4.14
3 S 0.0000 0.0000 0.5000  2 Ba 2.97
4 Cl 0.0000 0.5000 0.0000  2 Ba 2.89
5 Cl 0.5000 0.0000 0.0000  2 Ba 2.89

Summary:
ΔE_f (raw) = -40 kJ/mol of atoms
theoretical density = 2.4 Mg/m³
crystal system = tetragonal
distance to the lowest polymorph of the same formula = 1258 meV/atom
space group = P4/mmm

12.
Here is BaTiSCl2 after structural relaxation from Alexandria via LeMat-Bulk. Energies are from PBE-GGA.

Lattice parameters (Å, degrees): 5.0040 5.0040 4.9209 90.00 90.00 90.00
Last column: nearest neighbours and their distance in Å.
Positions (direct):
1 Ba 0.0000 0.0000 0.0000  8 Cl 3.51, 4 S 3.54
2 Ti 0.5000 0.5000 0.5000  2 S 2.46, 4 Cl 2.50
3 S 0.5000 0.5000 0.0000  2 Ti 2.46
4 Cl 0.0000 0.5000 0.5000  2 Ti 2.50
5 Cl 0.5000 0.0000 0.5000  2 Ti 2.50

Summary:
ΔE_f (raw) = -161 kJ/mol of atoms
theoretical density = 3.9 Mg/m³
crystal system = tetragonal
distance to the lowest polymorph of the same formula = 0 meV/atom
space group = P4/mmm